Entry 1:
# DyScHg4, optimized geometry, DFT PBE-GGA
# D(E_F): 3.215 states/eV/cell
# Crystal system: monoclinic
# E above lowest polymorph: 0.0 meV per atom
# Final energy: -2.356 eV per atom
# Total magnetic moment: 0.000 μB per atom
data_DyScHg4
_symmetry_space_group_name_H-M 'P 1 m 1'
_symmetry_Int_Tables_number 6
_symmetry_space_group_name_Hall 'P -2y'
_cell_length_a 3.8361
_cell_length_b 5.1017
_cell_length_c 7.4644
_cell_angle_alpha 90.00
_cell_angle_beta 104.95
_cell_angle_gamma 90.00
loop_
_atom_site_label
_atom_site_type_symbol
_atom_site_fract_x
_atom_site_fract_y
_atom_site_fract_z
Dy1 Dy 0.0000 0.0000 0.0000
Sc1 Sc 0.2053 0.5000 0.4132
Hg1 Hg 0.3316 0.0000 0.6633
Hg2 Hg 0.5418 0.5000 0.0860
Hg3 Hg 0.6702 0.0000 0.3403
Hg4 Hg 0.8669 0.5000 0.7355

***

Entry 2:
# Dy3ScHg6, optimized geometry, DFT PBE-GGA
# D(E_F): 13.955 states/eV/cell
# Crystal system: monoclinic
# Final energy: -2.596 eV per atom
# Total magnetic moment: 0.000 μB per atom
data_Dy3ScHg6
_symmetry_space_group_name_H-M 'P 1 21/m 1'
_symmetry_Int_Tables_number 11
_symmetry_space_group_name_Hall '-P 2yb'
_cell_length_a 9.0109
_cell_length_b 5.1140
_cell_length_c 11.0523
_cell_angle_alpha 90.00
_cell_angle_beta 107.54
_cell_angle_gamma 90.00
loop_
_atom_site_label
_atom_site_type_symbol
_atom_site_fract_x
_atom_site_fract_y
_atom_site_fract_z
Dy1 Dy 0.0203 0.2500 0.3873
Dy2 Dy 0.1484 0.7500 0.2125
Dy3 Dy 0.2737 0.2500 0.9925
Sc1 Sc 0.4427 0.2500 0.5961
Hg1 Hg 0.0301 0.7500 0.9133
Hg2 Hg 0.1650 0.2500 0.6944
Hg3 Hg 0.2671 0.7500 0.5045
Hg4 Hg 0.3506 0.7500 0.8218
Hg5 Hg 0.3550 0.2500 0.3122
Hg6 Hg 0.4419 0.7500 0.1243

***

Entry 3:
# Dy14ScHg, optimized geometry, DFT PBE-GGA
# D(E_F): 38.664 states/eV/cell
# Crystal system: orthorhombic
# Final energy: -4.454 eV per atom
# Total magnetic moment: 0.000 μB per atom
data_Dy14ScHg
_symmetry_space_group_name_H-M 'A m m 2'
_symmetry_Int_Tables_number 38
_symmetry_space_group_name_Hall 'A 2 -2'
_cell_length_a 9.9314
_cell_length_b 9.8224
_cell_length_c 9.8650
_cell_angle_alpha 90.00
_cell_angle_beta 90.00
_cell_angle_gamma 90.00
loop_
_atom_site_label
_atom_site_type_symbol
_atom_site_fract_x
_atom_site_fract_y
_atom_site_fract_z
Dy1 Dy 0.0000 0.0000 0.0000
Dy2 Dy 0.0000 0.0000 0.4966
Dy3 Dy 0.0000 0.2405 0.2478
Dy4 Dy 0.2391 0.0000 0.7506
Dy5 Dy 0.2563 0.2487 0.9955
Dy6 Dy 0.2728 0.0000 0.2485
Dy7 Dy 0.5000 0.2264 0.7362
Sc1 Sc 0.5000 0.0000 0.9936
Hg1 Hg 0.5000 0.0000 0.4931

***

Entry 4:
# DySc2Hg5, optimized geometry, DFT PBE-GGA
# D(E_F): 7.993 states/eV/cell
# Crystal system: tetragonal
# Final energy: -2.722 eV per atom
# Total magnetic moment: 0.000 μB per atom
data_DySc2Hg5
_symmetry_space_group_name_H-M 'I 4/m m m'
_symmetry_Int_Tables_number 139
_symmetry_space_group_name_Hall '-I 4 2'
_cell_length_a 5.0175
_cell_length_b 5.0175
_cell_length_c 14.4477
_cell_angle_alpha 90.00
_cell_angle_beta 90.00
_cell_angle_gamma 90.00
loop_
_atom_site_label
_atom_site_type_symbol
_atom_site_fract_x
_atom_site_fract_y
_atom_site_fract_z
Dy1 Dy 0.0000 0.0000 0.0000
Sc1 Sc 0.0000 0.0000 0.2619
Hg1 Hg 0.0000 0.0000 0.5000
Hg2 Hg 0.0000 0.5000 0.1324

***

Entry 5:
# DyScHg, optimized geometry, DFT PBE-GGA
# D(E_F): 4.197 states/eV/cell
# Crystal system: trigonal
# E above lowest polymorph: 101.7 meV per atom
# Final energy: -3.946 eV per atom
# Total magnetic moment: 0.058 μB per atom
data_DyScHg
_symmetry_space_group_name_H-M 'P 3 m 1'
_symmetry_Int_Tables_number 156
_symmetry_space_group_name_Hall 'P 3 -2"'
_cell_length_a 4.9585
_cell_length_b 4.9585
_cell_length_c 3.6461
_cell_angle_alpha 90.00
_cell_angle_beta 90.00
_cell_angle_gamma 120.00
loop_
_atom_site_label
_atom_site_type_symbol
_atom_site_fract_x
_atom_site_fract_y
_atom_site_fract_z
Dy1 Dy 0.0000 0.0000 0.0000
Sc1 Sc 0.3333 0.6667 0.4825
Hg1 Hg 0.6667 0.3333 0.5676

***

Entry 6:
# Dy4ScHg3, optimized geometry, DFT PBE-GGA
# D(E_F): 11.284 states/eV/cell
# Crystal system: orthorhombic
# Final energy: -3.518 eV per atom
# Total magnetic moment: 0.168 μB per atom
data_Dy4ScHg3
_symmetry_space_group_name_H-M 'P m m m'
_symmetry_Int_Tables_number 47
_symmetry_space_group_name_Hall '-P 2 2'
_cell_length_a 3.7425
_cell_length_b 5.2303
_cell_length_c 10.7244
_cell_angle_alpha 90.00
_cell_angle_beta 90.00
_cell_angle_gamma 90.00
loop_
_atom_site_label
_atom_site_type_symbol
_atom_site_fract_x
_atom_site_fract_y
_atom_site_fract_z
Dy1 Dy 0.0000 0.0000 0.0000
Dy2 Dy 0.0000 0.0000 0.5000
Dy3 Dy 0.0000 0.5000 0.2409
Sc1 Sc 0.5000 0.5000 0.5000
Hg1 Hg 0.5000 0.0000 0.2639
Hg2 Hg 0.5000 0.5000 0.0000

***

| no. | energy of formation from the pure elements (eV/atom) |
| --- | --- |
| 1 | -0.33 |
| 2 | -0.40 |
| 3 | -0.01 |
| 4 | -0.38 |
| 5 | -0.20 |
| 6 | -0.31 |